Entry 1:
Here is an optimized crystal structure of ThCr6 from Alexandria. Energies are from PBE-GGA.

a b c (Å): 6.2423 6.2423 6.2423
angles (deg): 90.00 90.00 90.00
Space group Im-3m (No. 229)
Unique sites:
1 Th 0.0000 0.0000 0.0000 [2 per cell]
2 Cr 0.0000 0.2500 0.5000 [12 per cell]

Output
Crystal system = cubic

---

Entry 2:
Here is an optimized crystal structure of Th3Cr from Alexandria. Energies are from PBE-GGA.

a b c (Å): 6.9083 6.9083 5.5175
angles (deg): 90.00 90.00 120.00
Space group P6_3/mmc (No. 194)
Unique sites:
1 Th 0.1767 0.3533 0.2500 [6 per cell]
2 Cr 0.3333 0.6667 0.7500 [2 per cell]

Output
Crystal system = hexagonal

---

Entry 3:
Here is an optimized crystal structure of Th4Cr from Alexandria. Energies are from PBE-GGA.

a b c (Å): 5.3338 5.3338 5.3338
angles (deg): 90.00 90.00 90.00
Space group Pm-3m (No. 221)
Unique sites:
1 Th 0.0000 0.0000 0.0000 [1 per cell]
2 Th 0.0000 0.5000 0.5000 [3 per cell]
3 Cr 0.5000 0.5000 0.5000 [1 per cell]

Output
Crystal system = cubic

---

Entry 4:
Here is an optimized crystal structure of ThTi2Cr from Alexandria. Energies are from PBE-GGA.

a b c (Å): 3.0687 3.0687 28.7917
angles (deg): 90.00 90.00 120.00
Space group R-3m (No. 166, hexagonal axes)
Unique sites:
1 Th 0.0000 0.0000 0.0000 [3 per cell]
2 Ti 0.0000 0.0000 0.1044 [6 per cell]
3 Cr 0.0000 0.0000 0.5000 [3 per cell]

Output
E above lowest polymorph = 0.320 eV per atom
Crystal system = trigonal

---

Entry 5:
Here is an optimized crystal structure of ThTi2Cr from Alexandria. Energies are from PBE-GGA.

a b c (Å): 3.1623 3.1623 7.6748
angles (deg): 90.00 90.00 90.00
Space group P4/mmm (No. 123)
Unique sites:
1 Th 0.0000 0.0000 0.0000 [1 per cell]
2 Ti 0.5000 0.5000 0.3201 [2 per cell]
3 Cr 0.0000 0.0000 0.5000 [1 per cell]

Output
E above lowest polymorph = 0.000 eV per atom
Crystal system = tetragonal

---

Entry 6:
Here is an optimized crystal structure of TmThZnCr from Alexandria. Energies are from PBE-GGA.

a b c (Å): 7.1695 7.1695 7.1695
angles (deg): 90.00 90.00 90.00
Space group F-43m (No. 216)
Unique sites:
1 Tm 0.0000 0.0000 0.0000 [4 per cell]
2 Th 0.0000 0.0000 0.5000 [4 per cell]
3 Zn 0.2500 0.2500 0.2500 [4 per cell]
4 Cr 0.2500 0.2500 0.7500 [4 per cell]

Output
Crystal system = cubic

---

Entry 7:
Here is an optimized crystal structure of ThZrCr4 from Alexandria. Energies are from PBE-GGA.

a b c (Å): 7.3092 7.3092 7.3092
angles (deg): 90.00 90.00 90.00
Space group F-43m (No. 216)
Unique sites:
1 Th 0.0000 0.0000 0.0000 [4 per cell]
2 Zr 0.2500 0.2500 0.2500 [4 per cell]
3 Cr 0.1249 0.1249 0.6249 [16 per cell]

Output
Crystal system = cubic

---

Entry 8:
Here is an optimized crystal structure of Ti3Cr from Alexandria. Energies are from PBE-GGA.

a b c (Å): 3.1134 8.8412 4.5373
angles (deg): 90.00 90.00 90.00
Space group Imm2 (No. 44)
Unique sites:
1 Ti 0.0000 0.0000 0.0000 [2 per cell]
2 Ti 0.0000 0.2176 0.4891 [4 per cell]
3 Cr 0.0000 0.5000 0.0322 [2 per cell]

Output
Crystal system = orthorhombic

---

Entry 9:
Here is an optimized crystal structure of TiCr2 from Alexandria. Energies are from PBE-GGA.

a b c (Å): 4.8616 4.8616 15.7650
angles (deg): 90.00 90.00 120.00
Space group P6_3/mmc (No. 194)
Unique sites:
1 Ti 0.0000 0.0000 0.0946 [4 per cell]
2 Ti 0.3333 0.6667 0.1565 [4 per cell]
3 Cr 0.0000 0.5000 0.0000 [6 per cell]
4 Cr 0.1633 0.3267 0.7500 [6 per cell]
5 Cr 0.3333 0.6667 0.6238 [4 per cell]

Output
E above lowest polymorph = 0.002 eV per atom
Crystal system = hexagonal

---

Entry 10:
Here is an optimized crystal structure of Ti3Cr from Alexandria. Energies are from PBE-GGA.

a b c (Å): 2.6814 4.4758 5.2070
angles (deg): 90.00 90.00 90.00
Space group Pmm2 (No. 25)
Unique sites:
1 Ti 0.0000 0.0000 0.0000 [1 per cell]
2 Ti 0.0000 0.5000 0.2917 [1 per cell]
3 Ti 0.5000 0.5000 0.7805 [1 per cell]
4 Cr 0.5000 0.0000 0.5281 [1 per cell]

Output
Crystal system = orthorhombic

---

Entry 11:
Here is an optimized crystal structure of TiCr2 from Alexandria. Energies are from PBE-GGA.

a b c (Å): 4.8870 4.8870 7.8128
angles (deg): 90.00 90.00 120.00
Space group P6_3/mmc (No. 194)
Unique sites:
1 Ti 0.3333 0.6667 0.0605 [4 per cell]
2 Cr 0.0000 0.0000 0.0000 [2 per cell]
3 Cr 0.1700 0.3400 0.7500 [6 per cell]

Output
E above lowest polymorph = 0.017 eV per atom
Crystal system = hexagonal

---

Entry 12:
Here is an optimized crystal structure of Ti3Cr from Alexandria. Energies are from PBE-GGA.

a b c (Å): 3.6974 3.6974 9.0715
angles (deg): 90.00 90.00 90.00
Space group I4/mmm (No. 139)
Unique sites:
1 Ti 0.0000 0.0000 0.0000 [2 per cell]
2 Ti 0.0000 0.5000 0.2500 [4 per cell]
3 Cr 0.0000 0.0000 0.5000 [2 per cell]

Output
Crystal system = tetragonal

---

Entry 13:
Here is an optimized crystal structure of TiCr2 from Alexandria. Energies are from PBE-GGA.

a b c (Å): 2.9266 2.9266 9.1615
angles (deg): 90.00 90.00 90.00
Space group I4/mmm (No. 139)
Unique sites:
1 Ti 0.0000 0.0000 0.0000 [2 per cell]
2 Cr 0.0000 0.0000 0.3196 [4 per cell]

Output
E above lowest polymorph = 0.095 eV per atom
Crystal system = tetragonal

---

Entry 14:
Here is an optimized crystal structure of TiCr2 from Alexandria. Energies are from PBE-GGA.

a b c (Å): 6.8572 6.8572 6.8572
angles (deg): 90.00 90.00 90.00
Space group Fd-3m (No. 227, origin choice 2)
Unique sites:
1 Ti 0.1250 0.1250 0.1250 [8 per cell]
2 Cr 0.0000 0.0000 0.5000 [16 per cell]

Output
E above lowest polymorph = 0.000 eV per atom
Crystal system = cubic

---

Formation energy in eV per atom, matching the order above: 1.133, 0.378, 0.368, 0.452, 0.132, 0.079, 0.194, 0.023, -0.120, 0.186, -0.105, 0.182, -0.026, -0.122